(1)
# PuCuAgGe (PBE, relaxed)
data_PuCuAgGe
_cell_length_a 6.7291
_cell_length_b 6.7291
_cell_length_c 6.7291
_cell_angle_alpha 90.00
_cell_angle_beta 90.00
_cell_angle_gamma 90.00
_space_group_name_H-M_alt 'F -4 3 m'
_space_group_IT_number 216
_space_group_name_Hall 'F -4 2 3'
loop_
_atom_site_label
_atom_site_fract_x
_atom_site_fract_y
_atom_site_fract_z
Pu1 0.0000 0.0000 0.0000
Cu1 0.2500 0.2500 0.2500
Ag1 0.0000 0.0000 0.5000
Ge1 0.2500 0.2500 0.7500
# Formation enthalpy at 0 K in meV/atom: -51
# Spin magnetization in μB/cell: 22.13


(2)
# Cu2AgGeS4 (PBE, relaxed)
data_Cu2AgGeS4
_cell_length_a 5.5245
_cell_length_b 5.5245
_cell_length_c 10.4079
_cell_angle_alpha 90.00
_cell_angle_beta 90.00
_cell_angle_gamma 90.00
_space_group_name_H-M_alt 'I -4 2 m'
_space_group_IT_number 121
_space_group_name_Hall 'I -4 2'
loop_
_atom_site_label
_atom_site_fract_x
_atom_site_fract_y
_atom_site_fract_z
Cu1 0.0000 0.5000 0.2500
Ag1 0.0000 0.0000 0.0000
Ge1 0.0000 0.0000 0.5000
S1 0.2306 0.2306 0.6335
# Uncorrected formation energy in kJ/mol of atoms: -26.5
# Spin magnetization in μB/cell: 0.00


(3)
# ScCuAgGe (PBE, relaxed)
data_ScCuAgGe
_cell_length_a 6.4627
_cell_length_b 6.4627
_cell_length_c 6.4627
_cell_angle_alpha 90.00
_cell_angle_beta 90.00
_cell_angle_gamma 90.00
_space_group_name_H-M_alt 'F -4 3 m'
_space_group_IT_number 216
_space_group_name_Hall 'F -4 2 3'
loop_
_atom_site_label
_atom_site_fract_x
_atom_site_fract_y
_atom_site_fract_z
Sc1 0.0000 0.0000 0.0000
Cu1 0.2500 0.2500 0.2500
Ag1 0.0000 0.0000 0.5000
Ge1 0.2500 0.2500 0.7500
# Formation enthalpy at 0 K in meV/atom: -252
# Spin magnetization in μB/cell: 0.00


(4)
# Cu2AgGeSe4 (PBE, relaxed)
data_Cu2AgGeSe4
_cell_length_a 8.2050
_cell_length_b 8.2128
_cell_length_c 11.0553
_cell_angle_alpha 90.00
_cell_angle_beta 90.00
_cell_angle_gamma 90.00
_space_group_name_H-M_alt 'F m m 2'
_space_group_IT_number 42
_space_group_name_Hall 'F 2 -2'
loop_
_atom_site_label
_atom_site_fract_x
_atom_site_fract_y
_atom_site_fract_z
Cu1 0.2500 0.2500 0.0000
Ag1 0.0000 0.0000 0.2499
Ge1 0.0000 0.0000 0.7503
Se1 0.0000 0.2356 0.6160
Se2 0.2357 0.0000 0.8847
# Uncorrected formation energy in kJ/mol of atoms: -21.6
# Spin magnetization in μB/cell: 0.00


(5)
# CuAgGeSe3 (PBE, relaxed)
data_CuAgGeSe3
_cell_length_a 7.1161
_cell_length_b 12.2949
_cell_length_c 7.1823
_cell_angle_alpha 90.00
_cell_angle_beta 111.35
_cell_angle_gamma 90.00
_space_group_name_H-M_alt 'C 1 c 1'
_space_group_IT_number 9
loop_
_space_group_symop_operation_xyz
'x,y,z'
'x,-y,z+1/2'
'x+1/2,y+1/2,z'
'x+1/2,-y+1/2,z+1/2'
loop_
_atom_site_label
_atom_site_fract_x
_atom_site_fract_y
_atom_site_fract_z
Cu1 0.0000 0.0834 0.0000
Ag1 0.0062 0.2507 0.5119
Ge1 0.0247 0.4166 0.0269
Se1 0.3728 0.0736 0.1459
Se2 0.3874 0.4290 0.1395
Se3 0.4062 0.2490 0.6175
# Uncorrected formation energy in kJ/mol of atoms: -20.8
# Spin magnetization in μB/cell: 0.00


(6)
# SmCuAgGe2 (PBE, relaxed)
data_SmCuAgGe2
_cell_length_a 4.2194
_cell_length_b 4.2194
_cell_length_c 10.7041
_cell_angle_alpha 90.00
_cell_angle_beta 90.00
_cell_angle_gamma 90.00
_space_group_name_H-M_alt 'I -4 m 2'
_space_group_IT_number 119
_space_group_name_Hall 'I -4 -2'
loop_
_atom_site_label
_atom_site_fract_x
_atom_site_fract_y
_atom_site_fract_z
Sm1 0.0000 0.0000 0.0000
Cu1 0.0000 0.5000 0.2500
Ag1 0.0000 0.5000 0.7500
Ge1 0.0000 0.0000 0.3848
# Formation enthalpy at 0 K in meV/atom: -428
# Spin magnetization in μB/cell: 0.00


(7)
# Sr2CuAgGe (PBE, relaxed)
data_Sr2CuAgGe
_cell_length_a 5.7193
_cell_length_b 5.7193
_cell_length_c 4.7511
_cell_angle_alpha 90.00
_cell_angle_beta 90.00
_cell_angle_gamma 90.00
_space_group_name_H-M_alt 'P 4/m m m'
_space_group_IT_number 123
_space_group_name_Hall '-P 4 2'
loop_
_atom_site_label
_atom_site_fract_x
_atom_site_fract_y
_atom_site_fract_z
Sr1 0.0000 0.5000 0.0000
Cu1 0.0000 0.0000 0.0000
Ag1 0.0000 0.0000 0.5000
Ge1 0.5000 0.5000 0.5000
# Formation enthalpy at 0 K in meV/atom: 72
# Spin magnetization in μB/cell: 0.00
# Energy above the most stable polymorph in this dataset in meV/atom: 229


(8)
# Sr2Cu3AgGe4 (PBE, relaxed)
data_Sr2Cu3AgGe4
_cell_length_a 4.3512
_cell_length_b 4.3512
_cell_length_c 10.4449
_cell_angle_alpha 90.00
_cell_angle_beta 90.00
_cell_angle_gamma 90.00
_space_group_name_H-M_alt 'P -4 m 2'
_space_group_IT_number 115
loop_
_space_group_symop_operation_xyz
'x,y,z'
'y,-x,-z'
'-x,-y,z'
'-y,x,-z'
'-x,y,z'
'-y,-x,-z'
'x,-y,z'
'y,x,-z'
loop_
_atom_site_label
_atom_site_fract_x
_atom_site_fract_y
_atom_site_fract_z
Sr1 0.0000 0.5000 0.2488
Cu1 0.0000 0.5000 0.8758
Cu2 0.5000 0.5000 0.5000
Ag1 0.0000 0.0000 0.5000
Ge1 0.0000 0.0000 0.0000
Ge2 0.0000 0.5000 0.6385
Ge3 0.5000 0.5000 0.0000
# Formation enthalpy at 0 K in meV/atom: -318
# Spin magnetization in μB/cell: 0.00